Density functional theory data (GGA+U) for crystalline NiPb2IO6 at its relaxed geometry.

abc: 5.7470 5.7493 5.7481
angles: 59.98 60.02 90.00
Site moments in Bohr magnetons follow the coordinates.
Positions (direct):
1 Ni 0.0000 0.0000 0.0000  1.66
2 Pb 0.2493 0.7506 0.5019  0.00
3 Pb 0.7507 0.2494 0.4981  0.00
4 I 0.5000 0.5000 0.0000  -0.03
5 O 0.2540 0.7460 0.9991  -0.05
6 O 0.7468 0.7458 0.9995  -0.05
7 O 0.2542 0.2533 0.4921  -0.05
8 O 0.7460 0.2540 0.0009  -0.05
9 O 0.2532 0.2542 0.0005  -0.05
10 O 0.7458 0.7467 0.5079  -0.05

Calculated values
Its space group is R-3m (166). The final energy is -4.85 eV/atom. Its density of states at the Fermi level is 1.8 states/eV/cell. The spin magnetization comes out at 1.30 μB per cell. The calculation puts the mass density at 8607 kg/m³.